1.
LiFeAs4, optimized geometry, DFT PBE; size of the total moment = 3.415 μB/f.u.; space group = F-43m (216); energy = -4.419 eV per atom
1.0
0.0000 3.8857 3.8857
3.8857 0.0000 3.8857
3.8857 3.8857 0.0000
Li Fe As
1 1 4
direct
0.0000 0.0000 0.0000 Li
0.2500 0.2500 0.2500 Fe
0.1255 0.6248 0.6248 As
0.6248 0.6248 0.6248 As
0.6248 0.1255 0.6248 As
0.6248 0.6248 0.1255 As



2.
SmTlFe, optimized geometry, DFT PBE; size of the total moment = 1.307 μB/f.u.; space group = C2/m (12); energy = -5.218 eV per atom
1.0
3.9174 0.0000 0.0000
0.0000 5.4088 -0.0559
-1.9587 -1.2305 6.4932
Tl Fe Sm
2 2 2
direct
0.5772 0.7910 0.1544 Tl
0.4228 0.2090 0.8456 Tl
0.2274 0.8886 0.4547 Fe
0.7726 0.1114 0.5453 Fe
0.8655 0.6795 0.7310 Sm
0.1345 0.3205 0.2690 Sm



3.
V6CrNi8, optimized geometry, DFT PBE; size of the total moment = 0.000 μB/f.u.; space group = P-3 (147); energy = -7.198 eV per atom
1.0
-1.2480 -0.2912 -2.1926
-7.3959 -3.1606 4.6294
0.8751 9.0802 -1.7041
Ni V Cr
8 6 1
direct
0.7663 0.6667 0.3333 Ni
0.2197 0.7994 0.7231 Ni
0.2337 0.3333 0.6667 Ni
0.7803 0.7231 0.9236 Ni
0.2197 0.9236 0.2006 Ni
0.2197 0.2769 0.0764 Ni
0.7803 0.2006 0.2769 Ni
0.7803 0.0764 0.7994 Ni
0.7337 0.0953 0.4680 V
0.2663 0.4680 0.3727 V
0.7337 0.5320 0.6273 V
0.7337 0.3727 0.9047 V
0.2663 0.6273 0.0953 V
0.2663 0.9047 0.5320 V
0.5000 0.0000 0.0000 Cr



4.
NaTm4, optimized geometry, DFT PBE; size of the total moment = 0.001 μB/f.u.; space group = Pm-3m (221); energy = -3.001 eV per atom
1.0
5.4862 0.0000 0.0000
0.0000 5.4862 0.0000
0.0000 0.0000 5.4862
Tm Na
4 1
direct
0.5000 0.5000 0.0000 Tm
0.0000 0.5000 0.5000 Tm
0.5000 0.0000 0.5000 Tm
0.0000 0.0000 0.0000 Tm
0.5000 0.5000 0.5000 Na



5.
TcAg2Hg, optimized geometry, DFT PBE; size of the total moment = 0.000 μB/f.u.; space group = Cmmm (65); energy = -3.597 eV per atom
1.0
5.3511 -0.0090 0.0000
-2.2128 4.8722 0.0000
0.0000 0.0000 2.7247
Tc Ag Hg
1 2 1
direct
0.0000 0.5000 0.5000 Tc
0.0000 0.0000 0.0000 Ag
0.5000 0.5000 0.0000 Ag
0.5000 0.0000 0.5000 Hg



6.
Li2TaP, optimized geometry, DFT PBE; size of the total moment = 0.000 μB/f.u.; space group = P4/mmm (123); energy = -5.199 eV per atom
1.0
2.6468 0.0000 0.0000
0.0000 2.6468 0.0000
0.0000 0.0000 8.8234
P Li Ta
1 2 1
direct
0.5000 0.5000 0.2500 P
0.0000 0.0000 0.0394 Li
0.0000 0.0000 0.4606 Li
0.5000 0.5000 0.7500 Ta